Record 1
This record from Alexandria describes crystalline HfMoRu at its relaxed geometry. The functional is GGA-PBE.

## Properties
Distance to the lowest polymorph of the same formula (eV per atom): 0.0000

```
data_HfMoRu
_chemical_formula_sum 'Hf2 Mo2 Ru2'
_space_group_name_H-M_alt 'P 3 m 1'
_space_group_IT_number 156
_cell_length_a 4.5066
_cell_length_b 4.5066
_cell_length_c 5.6622
_cell_angle_alpha 90.00
_cell_angle_beta 90.00
_cell_angle_gamma 120.00
loop_
_space_group_symop_operation_xyz
'x,y,z'
'-y,x-y,z'
'-x+y,-x,z'
'-y,-x,z'
'-x+y,y,z'
'x,x-y,z'
loop_
_atom_site_label
_atom_site_type_symbol
_atom_site_fract_x
_atom_site_fract_y
_atom_site_fract_z
Hf1 Hf 0.0000 0.0000 0.0000
Hf2 Hf 0.3333 0.6667 0.6641
Mo1 Mo 0.3333 0.6667 0.1769
Mo2 Mo 0.6667 0.3333 0.3283
Ru1 Ru 0.0000 0.0000 0.4984
Ru2 Ru 0.6667 0.3333 0.8311
```


Record 2
This record from Alexandria describes crystalline CuSiAgTe2 at its relaxed geometry. The functional is GGA-PBE.

## Properties
E_form (uncorrected) (eV per atom): 0.7181

```
data_CuSiAgTe2
_chemical_formula_sum 'Cu1 Si1 Ag1 Te2'
_space_group_name_H-M_alt 'P 4/m m m'
_space_group_IT_number 123
_space_group_name_Hall '-P 4 2'
_cell_length_a 5.3581
_cell_length_b 5.3581
_cell_length_c 4.7342
_cell_angle_alpha 90.00
_cell_angle_beta 90.00
_cell_angle_gamma 90.00
loop_
_atom_site_label
_atom_site_type_symbol
_atom_site_fract_x
_atom_site_fract_y
_atom_site_fract_z
Cu1 Cu 0.0000 0.0000 0.0000
Si1 Si 0.5000 0.5000 0.5000
Ag1 Ag 0.5000 0.5000 0.0000
Te1 Te 0.0000 0.5000 0.5000
```


Record 3
This record from Alexandria describes crystalline BaCoRu2 at its relaxed geometry. The functional is GGA-PBE.

## Properties
Distance to the lowest polymorph of the same formula (eV per atom): 0.4654

```
data_BaCoRu2
_chemical_formula_sum 'Ba4 Co4 Ru8'
_space_group_name_H-M_alt 'I 41/a m d'
_space_group_IT_number 141
_cell_length_a 4.9099
_cell_length_b 4.9099
_cell_length_c 16.4200
_cell_angle_alpha 90.00
_cell_angle_beta 90.00
_cell_angle_gamma 90.00
loop_
_space_group_symop_operation_xyz
'x,y,z'
'-x,-y,-z'
'-y+1/4,x+3/4,z+1/4'
'y+1/4,-x+3/4,-z+1/4'
'-x+1/2,-y,z+1/2'
'x+1/2,y,-z+1/2'
'y+1/4,-x+1/4,z+3/4'
'-y+1/4,x+1/4,-z+3/4'
'x,-y,-z'
'-x,y,z'
'-y+1/4,-x+1/4,-z+3/4'
'y+1/4,x+1/4,z+3/4'
'-x+1/2,y,-z+1/2'
'x+1/2,-y,z+1/2'
'y+1/4,x+3/4,-z+1/4'
'-y+1/4,-x+3/4,z+1/4'
'x+1/2,y+1/2,z+1/2'
'-x+1/2,-y+1/2,-z+1/2'
'-y+3/4,x+1/4,z+3/4'
'y+3/4,-x+1/4,-z+3/4'
'-x,-y+1/2,z'
'x,y+1/2,-z'
'y+3/4,-x+3/4,z+1/4'
'-y+3/4,x+3/4,-z+1/4'
'x+1/2,-y+1/2,-z+1/2'
'-x+1/2,y+1/2,z+1/2'
'-y+3/4,-x+3/4,-z+1/4'
'y+3/4,x+3/4,z+1/4'
'-x,y+1/2,-z'
'x,-y+1/2,z'
'y+3/4,x+1/4,-z+3/4'
'-y+3/4,-x+1/4,z+3/4'
loop_
_atom_site_label
_atom_site_type_symbol
_atom_site_fract_x
_atom_site_fract_y
_atom_site_fract_z
Ba1 Ba 0.0000 0.2500 0.3750
Co1 Co 0.0000 0.2500 0.8750
Ru1 Ru 0.0000 0.0000 0.0000
```


| no. | uncorrected energy (eV/cell) |
| --- | --- |
| 1 | -62.32 |
| 2 | -15.06 |
| 3 | -97.66 |